a) ! Tb6Sm12Y | Alexandria | PBE-GGA | optimized geometry; values from VASP
! Symmetry = R-3, No. 148
! D(E_F) = 32.6 states/eV per cell
&SYSTEM
  ibrav = 0, nat = 19, ntyp = 3
/
ATOMIC_SPECIES
Sm 150.36 Sm.upf
Tb 158.93 Tb.upf
Y 88.91 Y.upf
ATOMIC_POSITIONS crystal
Sm 0.222 0.462 0.566
Sm 0.778 0.538 0.434
Sm 0.462 0.566 0.222
Sm 0.434 0.778 0.538
Sm 0.538 0.434 0.778
Sm 0.566 0.222 0.462
Sm 0.360 0.016 0.197
Sm 0.197 0.360 0.016
Sm 0.984 0.803 0.640
Sm 0.016 0.197 0.360
Sm 0.803 0.640 0.984
Sm 0.640 0.984 0.803
Tb 0.097 0.698 0.261
Tb 0.698 0.261 0.097
Tb 0.903 0.302 0.739
Tb 0.302 0.739 0.903
Tb 0.739 0.903 0.302
Tb 0.261 0.097 0.698
Y 0.000 0.000 0.000
CELL_PARAMETERS angstrom
8.568 0.695 0.832
-0.612 8.574 0.832
-0.612 -0.713 8.585

---

b) ! Tb6Sm12Y | Alexandria | PBE-GGA | optimized geometry; values from VASP
! Symmetry = R-3, No. 148
! D(E_F) = 29.4 states/eV per cell
&SYSTEM
  ibrav = 0, nat = 19, ntyp = 3
/
ATOMIC_SPECIES
Sm 150.36 Sm.upf
Y 88.91 Y.upf
Tb 158.93 Tb.upf
ATOMIC_POSITIONS crystal
Sm 0.825 0.280 0.134
Sm 0.192 0.580 0.483
Sm 0.517 0.808 0.420
Sm 0.134 0.825 0.280
Sm 0.866 0.175 0.720
Sm 0.483 0.192 0.580
Sm 0.580 0.483 0.192
Sm 0.720 0.866 0.175
Sm 0.280 0.134 0.825
Sm 0.175 0.720 0.866
Sm 0.808 0.420 0.517
Sm 0.420 0.517 0.808
Y 0.000 0.000 0.000
Tb 0.922 0.810 0.546
Tb 0.078 0.190 0.454
Tb 0.810 0.546 0.922
Tb 0.546 0.922 0.810
Tb 0.190 0.454 0.078
Tb 0.454 0.078 0.190
CELL_PARAMETERS angstrom
-3.017 0.009 8.716
2.493 -8.667 -1.935
7.703 5.071 -0.146

---

Most stable: a) (next structure +95 meV/atom)